# ZrNbRe2Os | the Alexandria database | PBE-GGA | optimized geometry
data_ZrNbRe2Os
_chemical_formula_sum 'Zr1 Nb1 Re2 Os1'
_cell_length_a 4.7243
_cell_length_b 4.7243
_cell_length_c 4.7138
_cell_angle_alpha 90.00
_cell_angle_beta 90.00
_cell_angle_gamma 90.00
_space_group_name_H-M_alt 'P 4/m m m'
_space_group_IT_number 123
_space_group_name_Hall '-P 4 2'
loop_
_atom_site_label
_atom_site_type_symbol
_atom_site_fract_x
_atom_site_fract_y
_atom_site_fract_z
Zr1 Zr 0.0000 0.0000 0.0000
Nb1 Nb 0.5000 0.5000 0.5000
Re1 Re 0.0000 0.5000 0.0000
Os1 Os 0.0000 0.0000 0.5000
# Formation energy from the elements: 2302 meV/atom
# Total moment: 0.000 μB/atom
# D(E_F): 0.77 states/eV per atom
# Crystal system: tetragonal

***

# Nb2Os3Rh3 | the Alexandria database | PBE-GGA | optimized geometry
data_Nb2Os3Rh3
_chemical_formula_sum 'Nb2 Os3 Rh3'
_cell_length_a 3.9015
_cell_length_b 3.9417
_cell_length_c 7.8208
_cell_angle_alpha 90.00
_cell_angle_beta 90.00
_cell_angle_gamma 90.00
_space_group_name_H-M_alt 'P m m m'
_space_group_IT_number 47
loop_
_space_group_symop_operation_xyz
'x,y,z'
'-x,-y,-z'
'-x,-y,z'
'x,y,-z'
'x,-y,-z'
'-x,y,z'
'-x,y,-z'
'x,-y,z'
loop_
_atom_site_label
_atom_site_type_symbol
_atom_site_fract_x
_atom_site_fract_y
_atom_site_fract_z
Nb1 Nb 0.0000 0.0000 0.2484
Os1 Os 0.0000 0.5000 0.0000
Os2 Os 0.5000 0.5000 0.2477
Rh1 Rh 0.0000 0.5000 0.5000
Rh2 Rh 0.5000 0.0000 0.0000
Rh3 Rh 0.5000 0.0000 0.5000
# Formation energy from the elements: -287 meV/atom
# Total moment: 0.000 μB/atom
# D(E_F): 0.76 states/eV per atom
# Crystal system: orthorhombic

***

# Nb2OsRh | the Alexandria database | PBE-GGA | optimized geometry
data_Nb2OsRh
_chemical_formula_sum 'Nb6 Os3 Rh3'
_cell_length_a 2.8504
_cell_length_b 2.8504
_cell_length_c 27.5788
_cell_angle_alpha 90.00
_cell_angle_beta 90.00
_cell_angle_gamma 120.00
_space_group_name_H-M_alt 'R -3 m'
_space_group_IT_number 166
_space_group_name_Hall '-R 3 2"'
loop_
_atom_site_label
_atom_site_type_symbol
_atom_site_fract_x
_atom_site_fract_y
_atom_site_fract_z
Nb1 Nb 0.0000 0.0000 0.2500
Os1 Os 0.0000 0.0000 0.0000
Rh1 Rh 0.0000 0.0000 0.5000
# Formation energy from the elements: -30 meV/atom
# Total moment: 0.000 μB/atom
# D(E_F): 1.39 states/eV per atom
# Crystal system: trigonal

***

# Nb2OsRh | the Alexandria database | PBE-GGA | optimized geometry
data_Nb2OsRh
_chemical_formula_sum 'Nb8 Os4 Rh4'
_cell_length_a 5.8712
_cell_length_b 5.8712
_cell_length_c 11.1573
_cell_angle_alpha 90.00
_cell_angle_beta 90.00
_cell_angle_gamma 90.00
_space_group_name_H-M_alt 'I -4 2 d'
_space_group_IT_number 122
_space_group_name_Hall 'I -4 2bw'
loop_
_atom_site_label
_atom_site_type_symbol
_atom_site_fract_x
_atom_site_fract_y
_atom_site_fract_z
Nb1 Nb 0.2502 0.2500 0.1250
Os1 Os 0.0000 0.0000 0.0000
Rh1 Rh 0.0000 0.0000 0.5000
# Formation energy from the elements: 1012 meV/atom
# Total moment: 0.000 μB/atom
# D(E_F): 1.19 states/eV per atom
# Crystal system: tetragonal

***

# Nb4Os5Rh | the Alexandria database | PBE-GGA | optimized geometry
data_Nb4Os5Rh
_chemical_formula_sum 'Nb8 Os10 Rh2'
_cell_length_a 4.4103
_cell_length_b 8.4371
_cell_length_c 9.1245
_cell_angle_alpha 90.00
_cell_angle_beta 90.00
_cell_angle_gamma 90.00
_space_group_name_H-M_alt 'I m m m'
_space_group_IT_number 71
_space_group_name_Hall '-I 2 2'
loop_
_atom_site_label
_atom_site_type_symbol
_atom_site_fract_x
_atom_site_fract_y
_atom_site_fract_z
Nb1 Nb 0.0000 0.0000 0.1724
Nb2 Nb 0.0000 0.1867 0.5000
Os1 Os 0.0000 0.3306 0.2284
Os2 Os 0.0000 0.5000 0.0000
Rh1 Rh 0.0000 0.5000 0.5000
# Formation energy from the elements: 77 meV/atom
# Total moment: 0.000 μB/atom
# D(E_F): 0.77 states/eV per atom
# Crystal system: orthorhombic

***

# Nb6OsRh | the Alexandria database | PBE-GGA | optimized geometry
data_Nb6OsRh
_chemical_formula_sum 'Nb6 Os1 Rh1'
_cell_length_a 5.1794
_cell_length_b 5.1794
_cell_length_c 5.1794
_cell_angle_alpha 90.00
_cell_angle_beta 90.00
_cell_angle_gamma 90.00
_space_group_name_H-M_alt 'P m -3'
_space_group_IT_number 200
_space_group_name_Hall '-P 2 2 3'
loop_
_atom_site_label
_atom_site_type_symbol
_atom_site_fract_x
_atom_site_fract_y
_atom_site_fract_z
Nb1 Nb 0.0000 0.2515 0.5000
Os1 Os 0.5000 0.5000 0.5000
Rh1 Rh 0.0000 0.0000 0.0000
# Formation energy from the elements: -279 meV/atom
# Total moment: 0.000 μB/atom
# D(E_F): 0.66 states/eV per atom
# Crystal system: cubic
# E above lowest polymorph: 0.00 kcal/mol of atoms

***

# Nb2OsRh2 | the Alexandria database | PBE-GGA | optimized geometry
data_Nb2OsRh2
_chemical_formula_sum 'Nb4 Os2 Rh4'
_cell_length_a 7.1682
_cell_length_b 7.1682
_cell_length_c 3.1566
_cell_angle_alpha 90.00
_cell_angle_beta 90.00
_cell_angle_gamma 90.00
_space_group_name_H-M_alt 'P 4/m b m'
_space_group_IT_number 127
_space_group_name_Hall '-P 4 2ab'
loop_
_atom_site_label
_atom_site_type_symbol
_atom_site_fract_x
_atom_site_fract_y
_atom_site_fract_z
Nb1 Nb 0.1763 0.3237 0.0000
Os1 Os 0.0000 0.0000 0.5000
Rh1 Rh 0.1283 0.6283 0.5000
# Formation energy from the elements: -80 meV/atom
# Total moment: 0.000 μB/atom
# D(E_F): 0.92 states/eV per atom
# Crystal system: tetragonal
# E above lowest polymorph: 4.56 kcal/mol of atoms

***

# Nb2Os2Rh | the Alexandria database | PBE-GGA | optimized geometry
data_Nb2Os2Rh
_chemical_formula_sum 'Nb4 Os4 Rh2'
_cell_length_a 7.3677
_cell_length_b 7.3677
_cell_length_c 3.0773
_cell_angle_alpha 90.00
_cell_angle_beta 90.00
_cell_angle_gamma 90.00
_space_group_name_H-M_alt 'P 4/m b m'
_space_group_IT_number 127
_space_group_name_Hall '-P 4 2ab'
loop_
_atom_site_label
_atom_site_type_symbol
_atom_site_fract_x
_atom_site_fract_y
_atom_site_fract_z
Nb1 Nb 0.1648 0.3352 0.0000
Os1 Os 0.1345 0.6345 0.5000
Rh1 Rh 0.0000 0.0000 0.5000
# Formation energy from the elements: 22 meV/atom
# Total moment: 0.000 μB/atom
# D(E_F): 1.10 states/eV per atom
# Crystal system: tetragonal

***

# Nb6OsRh | the Alexandria database | PBE-GGA | optimized geometry
data_Nb6OsRh
_chemical_formula_sum 'Nb12 Os2 Rh2'
_cell_length_a 4.6210
_cell_length_b 4.6210
_cell_length_c 12.9389
_cell_angle_alpha 90.00
_cell_angle_beta 90.00
_cell_angle_gamma 90.00
_space_group_name_H-M_alt 'I 4/m m m'
_space_group_IT_number 139
_space_group_name_Hall '-I 4 2'
loop_
_atom_site_label
_atom_site_type_symbol
_atom_site_fract_x
_atom_site_fract_y
_atom_site_fract_z
Nb1 Nb 0.0000 0.0000 0.2494
Nb2 Nb 0.0000 0.5000 0.1226
Os1 Os 0.0000 0.0000 0.0000
Rh1 Rh 0.0000 0.0000 0.5000
# Formation energy from the elements: -207 meV/atom
# Total moment: 0.000 μB/atom
# D(E_F): 0.65 states/eV per atom
# Crystal system: tetragonal
# E above lowest polymorph: 1.67 kcal/mol of atoms

***

# Nb3OsRh | the Alexandria database | PBE-GGA | optimized geometry
data_Nb3OsRh
_chemical_formula_sum 'Nb3 Os1 Rh1'
_cell_length_a 4.7998
_cell_length_b 4.7998
_cell_length_c 4.7998
_cell_angle_alpha 90.00
_cell_angle_beta 90.00
_cell_angle_gamma 90.00
_space_group_name_H-M_alt 'P m -3 m'
_space_group_IT_number 221
_space_group_name_Hall '-P 4 2 3'
loop_
_atom_site_label
_atom_site_type_symbol
_atom_site_fract_x
_atom_site_fract_y
_atom_site_fract_z
Nb1 Nb 0.0000 0.0000 0.5000
Os1 Os 0.0000 0.0000 0.0000
Rh1 Rh 0.5000 0.5000 0.5000
# Formation energy from the elements: 1162 meV/atom
# Total moment: 0.000 μB/atom
# D(E_F): 1.30 states/eV per atom
# Crystal system: cubic
# E above lowest polymorph: 0.00 kcal/mol of atoms

***

# Nb4OsRh | the Alexandria database | PBE-GGA | optimized geometry
data_Nb4OsRh
_chemical_formula_sum 'Nb8 Os2 Rh2'
_cell_length_a 6.2120
_cell_length_b 6.2126
_cell_length_c 6.1671
_cell_angle_alpha 90.00
_cell_angle_beta 90.12
_cell_angle_gamma 90.00
_space_group_name_H-M_alt 'C 1 2/m 1'
_space_group_IT_number 12
loop_
_space_group_symop_operation_xyz
'x,y,z'
'-x,-y,-z'
'-x,y,-z'
'x,-y,z'
'x+1/2,y+1/2,z'
'-x+1/2,-y+1/2,-z'
'-x+1/2,y+1/2,-z'
'x+1/2,-y+1/2,z'
loop_
_atom_site_label
_atom_site_type_symbol
_atom_site_fract_x
_atom_site_fract_y
_atom_site_fract_z
Nb1 Nb 0.2501 0.2503 0.2468
Os1 Os 0.0000 0.0000 0.0000
Rh1 Rh 0.0000 0.5000 0.5000
# Formation energy from the elements: 203 meV/atom
# Total moment: 0.000 μB/atom
# D(E_F): 1.29 states/eV per atom
# Crystal system: monoclinic

***

# NbOs2Rh2 | the Alexandria database | PBE-GGA | optimized geometry
data_NbOs2Rh2
_chemical_formula_sum 'Nb2 Os4 Rh4'
_cell_length_a 7.4875
_cell_length_b 7.4875
_cell_length_c 2.7732
_cell_angle_alpha 90.00
_cell_angle_beta 90.00
_cell_angle_gamma 90.00
_space_group_name_H-M_alt 'P 4/m b m'
_space_group_IT_number 127
_space_group_name_Hall '-P 4 2ab'
loop_
_atom_site_label
_atom_site_type_symbol
_atom_site_fract_x
_atom_site_fract_y
_atom_site_fract_z
Nb1 Nb 0.0000 0.0000 0.0000
Os1 Os 0.1219 0.3781 0.0000
Rh1 Rh 0.1746 0.6746 0.5000
# Formation energy from the elements: 131 meV/atom
# Total moment: 0.000 μB/atom
# D(E_F): 1.31 states/eV per atom
# Crystal system: tetragonal

***

# Nb14OsRh | the Alexandria database | PBE-GGA | optimized geometry
data_Nb14OsRh
_chemical_formula_sum 'Nb28 Os2 Rh2'
_cell_length_a 6.5693
_cell_length_b 9.3460
_cell_length_c 9.2332
_cell_angle_alpha 90.00
_cell_angle_beta 90.00
_cell_angle_gamma 90.00
_space_group_name_H-M_alt 'C m m m'
_space_group_IT_number 65
_space_group_name_Hall '-C 2 2'
loop_
_atom_site_label
_atom_site_type_symbol
_atom_site_fract_x
_atom_site_fract_y
_atom_site_fract_z
Nb1 Nb 0.0000 0.0000 0.0000
Nb2 Nb 0.0000 0.2502 0.2542
Nb3 Nb 0.0000 0.5000 0.0000
Nb4 Nb 0.2474 0.0000 0.2580
Nb5 Nb 0.2500 0.2500 0.0000
Nb6 Nb 0.2500 0.2500 0.5000
Os1 Os 0.0000 0.0000 0.5000
Rh1 Rh 0.0000 0.5000 0.5000
# Formation energy from the elements: -145 meV/atom
# Total moment: 0.000 μB/atom
# D(E_F): 1.09 states/eV per atom
# Crystal system: orthorhombic

***

# Nb2OsRh2 | the Alexandria database | PBE-GGA | optimized geometry
data_Nb2OsRh2
_chemical_formula_sum 'Nb4 Os2 Rh4'
_cell_length_a 8.7936
_cell_length_b 3.9488
_cell_length_c 6.1946
_cell_angle_alpha 90.00
_cell_angle_beta 132.71
_cell_angle_gamma 90.00
_space_group_name_H-M_alt 'C 1 2/m 1'
_space_group_IT_number 12
loop_
_space_group_symop_operation_xyz
'x,y,z'
'-x,-y,-z'
'-x,y,-z'
'x,-y,z'
'x+1/2,y+1/2,z'
'-x+1/2,-y+1/2,-z'
'-x+1/2,y+1/2,-z'
'x+1/2,-y+1/2,z'
loop_
_atom_site_label
_atom_site_type_symbol
_atom_site_fract_x
_atom_site_fract_y
_atom_site_fract_z
Nb1 Nb 0.0807 0.0000 0.2957
Os1 Os 0.0000 0.5000 0.5000
Rh1 Rh 0.1960 0.5000 0.0941
# Formation energy from the elements: -277 meV/atom
# Total moment: 0.000 μB/atom
# D(E_F): 0.83 states/eV per atom
# Crystal system: monoclinic
# E above lowest polymorph: 0.00 kcal/mol of atoms

***

# Nb2OsRh | the Alexandria database | PBE-GGA | optimized geometry
data_Nb2OsRh
_chemical_formula_sum 'Nb2 Os1 Rh1'
_cell_length_a 4.1653
_cell_length_b 4.1653
_cell_length_c 3.7350
_cell_angle_alpha 90.00
_cell_angle_beta 90.00
_cell_angle_gamma 90.00
_space_group_name_H-M_alt 'P 4/m m m'
_space_group_IT_number 123
_space_group_name_Hall '-P 4 2'
loop_
_atom_site_label
_atom_site_type_symbol
_atom_site_fract_x
_atom_site_fract_y
_atom_site_fract_z
Nb1 Nb 0.0000 0.5000 0.0000
Os1 Os 0.0000 0.0000 0.5000
Rh1 Rh 0.5000 0.5000 0.5000
# Formation energy from the elements: -244 meV/atom
# Total moment: 0.000 μB/atom
# D(E_F): 1.40 states/eV per atom
# Crystal system: tetragonal

***

# Nb2OsRh | the Alexandria database | PBE-GGA | optimized geometry
data_Nb2OsRh
_chemical_formula_sum 'Nb2 Os1 Rh1'
_cell_length_a 2.9776
_cell_length_b 2.9776
_cell_length_c 7.3605
_cell_angle_alpha 90.00
_cell_angle_beta 90.00
_cell_angle_gamma 90.00
_space_group_name_H-M_alt 'P 4/m m m'
_space_group_IT_number 123
_space_group_name_Hall '-P 4 2'
loop_
_atom_site_label
_atom_site_type_symbol
_atom_site_fract_x
_atom_site_fract_y
_atom_site_fract_z
Nb1 Nb 0.0000 0.0000 0.2421
Os1 Os 0.5000 0.5000 0.0000
Rh1 Rh 0.5000 0.5000 0.5000
# Formation energy from the elements: -250 meV/atom
# Total moment: 0.000 μB/atom
# D(E_F): 1.35 states/eV per atom
# Crystal system: tetragonal

***

# Nb2OsRuRh | the Alexandria database | PBE-GGA | optimized geometry
data_Nb2OsRuRh
_chemical_formula_sum 'Nb2 Os1 Ru1 Rh1'
_cell_length_a 4.6998
_cell_length_b 4.6998
_cell_length_c 4.5566
_cell_angle_alpha 90.00
_cell_angle_beta 90.00
_cell_angle_gamma 90.00
_space_group_name_H-M_alt 'P 4/m m m'
_space_group_IT_number 123
_space_group_name_Hall '-P 4 2'
loop_
_atom_site_label
_atom_site_type_symbol
_atom_site_fract_x
_atom_site_fract_y
_atom_site_fract_z
Nb1 Nb 0.0000 0.5000 0.0000
Os1 Os 0.0000 0.0000 0.5000
Ru1 Ru 0.5000 0.5000 0.5000
Rh1 Rh 0.5000 0.5000 0.0000
# Formation energy from the elements: 1639 meV/atom
# Total moment: 0.000 μB/atom
# D(E_F): 1.43 states/eV per atom
# Crystal system: tetragonal

***

# TaNbOsRh2 | the Alexandria database | PBE-GGA | optimized geometry
data_TaNbOsRh2
_chemical_formula_sum 'Ta1 Nb1 Os1 Rh2'
_cell_length_a 4.5493
_cell_length_b 4.5493
_cell_length_c 4.9123
_cell_angle_alpha 90.00
_cell_angle_beta 90.00
_cell_angle_gamma 90.00
_space_group_name_H-M_alt 'P 4/m m m'
_space_group_IT_number 123
_space_group_name_Hall '-P 4 2'
loop_
_atom_site_label
_atom_site_type_symbol
_atom_site_fract_x
_atom_site_fract_y
_atom_site_fract_z
Ta1 Ta 0.0000 0.0000 0.0000
Nb1 Nb 0.0000 0.0000 0.5000
Os1 Os 0.5000 0.5000 0.0000
Rh1 Rh 0.0000 0.5000 0.5000
# Formation energy from the elements: 1774 meV/atom
# Total moment: 0.145 μB/atom
# D(E_F): 0.99 states/eV per atom
# Crystal system: tetragonal

***

# Nb2TcOsRh | the Alexandria database | PBE-GGA | optimized geometry
data_Nb2TcOsRh
_chemical_formula_sum 'Nb2 Tc1 Os1 Rh1'
_cell_length_a 4.7222
_cell_length_b 4.7222
_cell_length_c 4.6063
_cell_angle_alpha 90.00
_cell_angle_beta 90.00
_cell_angle_gamma 90.00
_space_group_name_H-M_alt 'P 4/m m m'
_space_group_IT_number 123
_space_group_name_Hall '-P 4 2'
loop_
_atom_site_label
_atom_site_type_symbol
_atom_site_fract_x
_atom_site_fract_y
_atom_site_fract_z
Nb1 Nb 0.0000 0.5000 0.0000
Tc1 Tc 0.0000 0.0000 0.0000
Os1 Os 0.0000 0.0000 0.5000
Rh1 Rh 0.5000 0.5000 0.5000
# Formation energy from the elements: 1415 meV/atom
# Total moment: 0.000 μB/atom
# D(E_F): 1.01 states/eV per atom
# Crystal system: tetragonal

***

# NbVOsRh | the Alexandria database | PBE-GGA | optimized geometry
data_NbVOsRh
_chemical_formula_sum 'Nb4 V4 Os4 Rh4'
_cell_length_a 6.2609
_cell_length_b 6.2609
_cell_length_c 6.2609
_cell_angle_alpha 90.00
_cell_angle_beta 90.00
_cell_angle_gamma 90.00
_space_group_name_H-M_alt 'F -4 3 m'
_space_group_IT_number 216
_space_group_name_Hall 'F -4 2 3'
loop_
_atom_site_label
_atom_site_type_symbol
_atom_site_fract_x
_atom_site_fract_y
_atom_site_fract_z
Nb1 Nb 0.0000 0.0000 0.0000
V1 V 0.0000 0.0000 0.5000
Os1 Os 0.2500 0.2500 0.7500
Rh1 Rh 0.2500 0.2500 0.2500
# Formation energy from the elements: -157 meV/atom
# Total moment: 0.554 μB/atom
# D(E_F): 1.31 states/eV per atom
# Crystal system: cubic